w.
{
  "formula": "VPt3Rh",
  "functional": "GGA-PBE",
  "state": "optimized geometry",
  "cell": [[4.562, 0.000, 0.000], [0.000, 4.562, 0.000], [0.000, 0.000, 4.562]],
  "species": ["V", "Pt", "Pt", "Pt", "Rh"],
  "fractional_positions": [[0.000, 0.000, 0.000], [0.000, 0.000, 0.500], [0.000, 0.500, 0.000], [0.500, 0.000, 0.000], [0.500, 0.500, 0.500]],
  "space_group": "Pm-3m (221)"
}

=====

x.
{
  "formula": "VPt3Rh",
  "functional": "GGA-PBE",
  "state": "optimized geometry",
  "cell": [[4.381, 0.000, 0.000], [-0.006, 4.841, 0.000], [-2.187, -0.267, 7.192]],
  "species": ["V", "V", "Pt", "Pt", "Pt", "Pt", "Pt", "Pt", "Rh", "Rh"],
  "fractional_positions": [[0.000, 0.000, 0.000], [0.275, 0.527, 0.549], [0.075, 0.505, 0.149], [0.190, 0.021, 0.379], [0.389, 0.118, 0.779], [0.580, 0.158, 0.160], [0.672, 0.680, 0.343], [0.859, 0.720, 0.715], [0.473, 0.628, 0.944], [0.780, 0.214, 0.559]],
  "space_group": "P1 (1)"
}

=====

Stability summary - winner: x; margin: 1.214 eV/atom.

=====

w.
{
  "formula": "PtRh3W2",
  "functional": "GGA-PBE",
  "state": "optimized geometry",
  "cell": [[4.539, 0.000, 0.000], [0.000, 14.673, 0.000], [0.000, 0.000, 2.785]],
  "species": ["Pt", "Pt", "Rh", "Rh", "Rh", "Rh", "Rh", "Rh", "W", "W", "W", "W"],
  "fractional_positions": [[0.000, 0.000, 0.000], [0.500, 0.500, 0.000], [0.000, 0.192, 0.500], [0.000, 0.500, 0.500], [0.000, 0.808, 0.500], [0.500, 0.000, 0.500], [0.500, 0.308, 0.500], [0.500, 0.692, 0.500], [0.000, 0.349, 0.000], [0.000, 0.651, 0.000], [0.500, 0.151, 0.000], [0.500, 0.849, 0.000]],
  "space_group": "Cmmm (65)"
}

=====

x.
{
  "formula": "PtRh3W2",
  "functional": "GGA-PBE",
  "state": "optimized geometry",
  "cell": [[0.000, 3.919, 8.376], [2.732, 0.000, 8.376], [2.732, 3.919, 0.000]],
  "species": ["Pt", "Pt", "Rh", "Rh", "Rh", "Rh", "Rh", "Rh", "W", "W", "W", "W"],
  "fractional_positions": [[0.125, 0.125, 0.125], [0.875, 0.875, 0.875], [0.212, 0.212, 0.538], [0.375, 0.375, 0.375], [0.462, 0.462, 0.788], [0.538, 0.538, 0.212], [0.625, 0.625, 0.625], [0.788, 0.788, 0.462], [0.049, 0.049, 0.701], [0.299, 0.299, 0.951], [0.701, 0.701, 0.049], [0.951, 0.951, 0.299]],
  "space_group": "Fddd (70)"
}

=====

Stability summary - winner: x; margin: 0.191 eV/atom.

=====

w.
{
  "formula": "PtRhW2",
  "functional": "GGA-PBE",
  "state": "optimized geometry",
  "cell": [[2.743, 0.000, 0.000], [0.000, 4.058, 0.000], [0.000, 0.000, 5.492]],
  "species": ["Pt", "Rh", "W", "W"],
  "fractional_positions": [[0.000, 0.000, 0.000], [0.000, 0.000, 0.500], [0.500, 0.500, 0.257], [0.500, 0.500, 0.743]],
  "space_group": "Pmmm (47)"
}

=====

x.
{
  "formula": "PtRhW2",
  "functional": "GGA-PBE",
  "state": "optimized geometry",
  "cell": [[2.749, 0.000, 0.000], [0.000, 2.749, 0.000], [0.000, 0.000, 8.096]],
  "species": ["Pt", "Rh", "W", "W"],
  "fractional_positions": [[0.000, 0.000, 0.000], [0.000, 0.000, 0.500], [0.500, 0.500, 0.257], [0.500, 0.500, 0.743]],
  "space_group": "P4/mmm (123)"
}

=====

Stability summary - winner: w; margin: 0.022 eV/atom.

=====

w.
{
  "formula": "PtRh3W",
  "functional": "GGA-PBE",
  "state": "optimized geometry",
  "cell": [[4.772, 0.000, 0.000], [-1.607, 5.259, 0.000], [-0.811, -1.680, 5.888]],
  "species": ["Pt", "Pt", "Rh", "Rh", "Rh", "Rh", "Rh", "Rh", "W", "W"],
  "fractional_positions": [[0.206, 0.152, 0.398], [0.794, 0.848, 0.602], [0.018, 0.262, 0.006], [0.202, 0.646, 0.398], [0.408, 0.060, 0.805], [0.592, 0.940, 0.195], [0.798, 0.354, 0.602], [0.982, 0.738, 0.994], [0.393, 0.555, 0.793], [0.607, 0.445, 0.207]],
  "space_group": "P-1 (2)"
}

=====

x.
{
  "formula": "PtRh3W",
  "functional": "GGA-PBE",
  "state": "optimized geometry",
  "cell": [[1.952, -5.703, 0.000], [1.952, 5.703, 0.000], [0.000, 0.000, 7.411]],
  "species": ["Pt", "Pt", "Rh", "Rh", "Rh", "Rh", "Rh", "Rh", "W", "W"],
  "fractional_positions": [[0.000, 0.000, 0.000], [0.000, 0.000, 0.500], [0.167, 0.833, 0.750], [0.341, 0.659, 0.509], [0.341, 0.659, 0.991], [0.659, 0.341, 0.009], [0.659, 0.341, 0.491], [0.833, 0.167, 0.250], [0.179, 0.821, 0.250], [0.821, 0.179, 0.750]],
  "space_group": "Cmcm (63)"
}

=====

y.
{
  "formula": "PtRh3W",
  "functional": "GGA-PBE",
  "state": "optimized geometry",
  "cell": [[4.675, 0.000, 0.000], [0.000, 4.675, 0.000], [0.000, 0.000, 4.675]],
  "species": ["Pt", "Rh", "Rh", "Rh", "W"],
  "fractional_positions": [[0.000, 0.000, 0.000], [0.000, 0.000, 0.500], [0.000, 0.500, 0.000], [0.500, 0.000, 0.000], [0.500, 0.500, 0.500]],
  "space_group": "Pm-3m (221)"
}

=====

Stability summary - winner: w; margin: 0.274 eV/atom.

=====

w.
{
  "formula": "Pt3RhW",
  "functional": "GGA-PBE",
  "state": "optimized geometry",
  "cell": [[-2.412, 2.412, 8.971], [2.412, -2.412, 8.971], [2.412, 2.412, -8.971]],
  "species": ["Pt", "Pt", "Pt", "Pt", "Pt", "Pt", "Rh", "Rh", "W", "W"],
  "fractional_positions": [[0.126, 0.376, 0.750], [0.175, 0.175, 0.000], [0.624, 0.374, 0.750], [0.624, 0.874, 0.250], [0.626, 0.376, 0.250], [0.825, 0.825, 0.000], [0.066, 0.566, 0.500], [0.434, 0.934, 0.500], [0.500, 0.500, 0.000], [0.750, 0.250, 0.500]],
  "space_group": "I-4m2 (119)"
}

=====

x.
{
  "formula": "Pt3RhW",
  "functional": "GGA-PBE",
  "state": "optimized geometry",
  "cell": [[2.415, -6.982, 0.000], [2.415, 6.982, 0.000], [-1.649, 0.000, 4.533]],
  "species": ["Pt", "Pt", "Pt", "Pt", "Pt", "Pt", "Rh", "Rh", "W", "W"],
  "fractional_positions": [[0.052, 0.948, 0.750], [0.249, 0.751, 0.750], [0.446, 0.554, 0.750], [0.554, 0.446, 0.250], [0.751, 0.249, 0.250], [0.948, 0.052, 0.250], [0.345, 0.655, 0.250], [0.655, 0.345, 0.750], [0.149, 0.851, 0.250], [0.851, 0.149, 0.750]],
  "space_group": "C2/c (15)"
}

=====

Stability summary - winner: x; margin: 1.018 eV/atom.

=====

w.
{
  "formula": "PtRh4W",
  "functional": "GGA-PBE",
  "state": "optimized geometry",
  "cell": [[0.000, 3.570, 3.570], [3.570, 0.000, 3.570], [3.570, 3.570, 0.000]],
  "species": ["Pt", "Rh", "Rh", "Rh", "Rh", "W"],
  "fractional_positions": [[0.000, 0.000, 0.000], [0.125, 0.625, 0.625], [0.625, 0.125, 0.625], [0.625, 0.625, 0.125], [0.625, 0.625, 0.625], [0.250, 0.250, 0.250]],
  "space_group": "F-43m (216)"
}

=====

x.
{
  "formula": "PtRh4W",
  "functional": "GGA-PBE",
  "state": "optimized geometry",
  "cell": [[2.711, -7.708, 0.000], [2.711, 7.708, 0.000], [0.000, 0.000, 4.272]],
  "species": ["Pt", "Pt", "Rh", "Rh", "Rh", "Rh", "Rh", "Rh", "Rh", "Rh", "W", "W"],
  "fractional_positions": [[0.122, 0.878, 0.750], [0.878, 0.122, 0.250], [0.040, 0.454, 0.750], [0.204, 0.290, 0.750], [0.290, 0.204, 0.250], [0.454, 0.040, 0.250], [0.546, 0.960, 0.750], [0.710, 0.796, 0.750], [0.796, 0.710, 0.250], [0.960, 0.546, 0.250], [0.372, 0.628, 0.250], [0.628, 0.372, 0.750]],
  "space_group": "Cmcm (63)"
}

=====

y.
{
  "formula": "PtRh4W",
  "functional": "GGA-PBE",
  "state": "optimized geometry",
  "cell": [[4.134, 0.000, 0.000], [0.000, 4.134, 0.000], [0.000, 0.000, 6.149]],
  "species": ["Pt", "Rh", "Rh", "Rh", "Rh", "W"],
  "fractional_positions": [[0.000, 0.000, 0.000], [0.000, 0.500, 0.263], [0.000, 0.500, 0.737], [0.500, 0.000, 0.263], [0.500, 0.000, 0.737], [0.500, 0.500, 0.500]],
  "space_group": "P4/mmm (123)"
}

=====

Stability summary - winner: x; margin: 0.206 eV/atom.

=====

w.
{
  "formula": "Pt3Rh3W",
  "functional": "GGA-PBE",
  "state": "optimized geometry",
  "cell": [[7.363, 0.000, 0.000], [-3.682, 6.377, 0.000], [0.000, 0.000, 4.479]],
  "species": ["Pt", "Pt", "Pt", "Pt", "Pt", "Pt", "Rh", "Rh", "Rh", "Rh", "Rh", "Rh", "W", "W"],
  "fractional_positions": [[0.056, 0.808, 0.250], [0.192, 0.248, 0.250], [0.248, 0.056, 0.750], [0.752, 0.944, 0.250], [0.808, 0.752, 0.750], [0.944, 0.192, 0.750], [0.095, 0.619, 0.750], [0.381, 0.476, 0.750], [0.476, 0.095, 0.250], [0.524, 0.905, 0.750], [0.619, 0.524, 0.250], [0.905, 0.381, 0.250], [0.333, 0.667, 0.250], [0.667, 0.333, 0.750]],
  "space_group": "P6_3/m (176)"
}

=====

x.
{
  "formula": "Pt3Rh3W",
  "functional": "GGA-PBE",
  "state": "optimized geometry",
  "cell": [[3.719, -3.976, 0.000], [3.719, 3.976, 0.000], [0.000, 0.000, 7.686]],
  "species": ["Pt", "Pt", "Pt", "Pt", "Pt", "Pt", "Rh", "Rh", "Rh", "Rh", "Rh", "Rh", "W", "W"],
  "fractional_positions": [[0.195, 0.195, 0.500], [0.241, 0.759, 0.000], [0.247, 0.247, 0.000], [0.753, 0.753, 0.000], [0.759, 0.241, 0.000], [0.805, 0.805, 0.500], [0.000, 0.500, 0.261], [0.000, 0.500, 0.739], [0.500, 0.000, 0.261], [0.500, 0.000, 0.739], [0.500, 0.500, 0.258], [0.500, 0.500, 0.742], [0.278, 0.722, 0.500], [0.722, 0.278, 0.500]],
  "space_group": "Cmmm (65)"
}

=====

Stability summary - winner: w; margin: 0.164 eV/atom.

=====

w.
{
  "formula": "PtRhW3",
  "functional": "GGA-PBE",
  "state": "optimized geometry",
  "cell": [[4.644, 0.000, 0.000], [0.000, 4.644, 0.000], [0.000, 0.000, 4.644]],
  "species": ["Pt", "Rh", "W", "W", "W"],
  "fractional_positions": [[0.000, 0.000, 0.000], [0.500, 0.500, 0.500], [0.000, 0.500, 0.500], [0.500, 0.000, 0.500], [0.500, 0.500, 0.000]],
  "space_group": "Pm-3m (221)"
}

=====

x.
{
  "formula": "PtRhW3",
  "functional": "GGA-PBE",
  "state": "optimized geometry",
  "cell": [[4.729, 0.000, 0.000], [0.000, 4.729, 0.000], [0.000, 0.000, 4.729]],
  "species": ["Pt", "Rh", "W", "W", "W"],
  "fractional_positions": [[0.000, 0.000, 0.000], [0.500, 0.500, 0.500], [0.000, 0.000, 0.500], [0.000, 0.500, 0.000], [0.500, 0.000, 0.000]],
  "space_group": "Pm-3m (221)"
}

=====

Stability summary - winner: w; margin: 0.287 eV/atom.